# 1
DFT (PBE) results for a geometry-optimized TbSmDy2Er5 structure.

Calculated values
VASP energy ... -4.31 eV per atom
DOS(E_F) ... 21.56 states/eV per cell
Space group ... I4/mcm, No. 140
V ... 284.31 Å³/f.u.

Cell lengths 8.6905, 8.6905, 9.7183 Å; angles 116.56, 116.56, 90.00 degrees
With the nearest neighbours (Å) after each atom.
Sites, in units of the cell vectors:
Tb 0.2500 0.2500 0.5000  10 Er 3.57-3.76
Tb 0.7500 0.7500 0.5000  10 Er 3.57-3.76
Sm 0.2500 0.7500 0.5000  4 Er 3.06
Sm 0.7500 0.2500 0.5000  4 Er 3.06
Dy 0.1161 0.3839 0.0000  1 Dy 2.85, 2 Er 3.00
Dy 0.6161 0.1161 0.0000  1 Dy 2.85, 2 Er 3.00
Dy 0.3839 0.8839 0.0000  1 Dy 2.85, 2 Er 3.00
Dy 0.8839 0.6161 0.0000  1 Dy 2.85, 2 Er 3.00
Er 0.9300 0.4300 0.2706  1 Dy 3.00, 1 Sm 3.06
Er 0.6594 0.1594 0.7294  1 Dy 3.00, 1 Sm 3.06
Er 0.0700 0.5700 0.7294  1 Dy 3.00, 1 Sm 3.06
Er 0.1594 0.0700 0.7294  1 Dy 3.00, 1 Sm 3.06
Er 0.5700 0.6594 0.7294  1 Dy 3.00, 1 Sm 3.06
Er 0.8406 0.9300 0.2706  1 Dy 3.00, 1 Sm 3.06
Er 0.4300 0.3406 0.2706  1 Dy 3.00, 1 Sm 3.06
Er 0.3406 0.8406 0.2706  1 Dy 3.00, 1 Sm 3.06
Er 0.5000 0.5000 0.0000  4 Dy 3.49, 8 Er 3.73, 2 Tb 3.76
Er 0.0000 0.0000 0.0000  4 Dy 3.49, 8 Er 3.73, 2 Tb 3.76

# 2
DFT (PBE) results for a geometry-optimized Tb4SmDy2Er2 structure.

Calculated values
VASP energy ... -4.59 eV per atom
DOS(E_F) ... 11.70 states/eV per cell
Space group ... C2/m, No. 12
V ... 287.33 Å³/f.u.

Cell lengths 3.5584, 8.7569, 9.6048 Å; angles 101.10, 90.00, 101.72 degrees
With the nearest neighbours (Å) after each atom.
Sites, in units of the cell vectors:
Tb 0.8218 0.6437 0.7582  3 Er 3.38-3.52, 1 Sm 3.46, 3 Dy 3.47-3.52, 4 Tb 3.53-3.56
Tb 0.1782 0.3563 0.2418  3 Er 3.38-3.52, 1 Sm 3.46, 3 Dy 3.47-3.52, 4 Tb 3.53-3.56
Tb 0.5160 0.0321 0.3269  5 Tb 3.47-3.56, 1 Er 3.52, 4 Dy 3.57-3.60, 2 Sm 3.57
Tb 0.4840 0.9679 0.6731  5 Tb 3.47-3.56, 1 Er 3.52, 4 Dy 3.57-3.60, 2 Sm 3.57
Sm 0.0000 0.0000 0.0000  6 Tb 3.46-3.57, 4 Er 3.54, 2 Sm 3.56
Dy 0.8480 0.6959 0.4086  7 Tb 3.47-3.60, 2 Dy 3.56, 2 Er 3.60
Dy 0.1520 0.3041 0.5914  7 Tb 3.47-3.60, 2 Dy 3.56, 2 Er 3.60
Er 0.3355 0.6710 0.0787  4 Tb 3.38-3.52, 4 Er 3.51-3.56, 2 Sm 3.54, 2 Dy 3.60
Er 0.6645 0.3290 0.9213  4 Tb 3.38-3.52, 4 Er 3.51-3.56, 2 Sm 3.54, 2 Dy 3.60

# 3
DFT (PBE) results for a geometry-optimized Tb4SmDyEr2 structure.

Calculated values
VASP energy ... -4.61 eV per atom
DOS(E_F) ... 10.70 states/eV per cell
Space group ... P2/m, No. 10
V ... 253.28 Å³/f.u.

Cell lengths 5.0256, 5.0155, 11.2308 Å; angles 63.47, 90.00, 90.00 degrees
With the nearest neighbours (Å) after each atom.
Sites, in units of the cell vectors:
Tb 0.0000 0.7532 0.7488  2 Dy 3.53-3.55, 4 Er 3.54-3.56, 4 Tb 3.55, 2 Sm 3.56
Tb 0.0000 0.2468 0.2512  2 Dy 3.53-3.55, 4 Er 3.54-3.56, 4 Tb 3.55, 2 Sm 3.56
Tb 0.5000 0.7466 0.2517  4 Er 3.53-3.57, 2 Dy 3.54, 4 Tb 3.55, 2 Sm 3.56-3.57
Tb 0.5000 0.2534 0.7483  4 Er 3.53-3.57, 2 Dy 3.54, 4 Tb 3.55, 2 Sm 3.56-3.57
Sm 0.5000 0.5000 0.0000  4 Er 3.55, 8 Tb 3.56-3.57
Dy 0.0000 0.5000 0.5000  8 Tb 3.53-3.55, 4 Er 3.55
Er 0.0000 0.0000 0.0000  4 Sm 3.55, 8 Tb 3.55-3.57
Er 0.5000 0.0000 0.5000  8 Tb 3.53-3.54, 4 Dy 3.55

# 4
DFT (PBE) results for a geometry-optimized Tb2Sm6DyEr structure.

Calculated values
VASP energy ... -4.56 eV per atom
DOS(E_F) ... 27.39 states/eV per cell
Space group ... C2/c, No. 15
V ... 332.38 Å³/f.u.

Cell lengths 9.6188, 8.8842, 8.8842 Å; angles 117.94, 93.94, 93.94 degrees
With the nearest neighbours (Å) after each atom.
Sites, in units of the cell vectors:
Tb 0.4554 0.8002 0.6995  5 Sm 3.27-3.49, 2 Dy 3.42, 1 Er 3.54
Tb 0.0446 0.3005 0.1998  5 Sm 3.27-3.49, 2 Dy 3.42, 1 Er 3.54
Tb 0.5446 0.1998 0.3005  5 Sm 3.27-3.49, 2 Dy 3.42, 1 Er 3.54
Tb 0.9554 0.6995 0.8002  5 Sm 3.27-3.49, 2 Dy 3.42, 1 Er 3.54
Sm 0.0547 0.1209 0.7581  7 Sm 3.43-3.77, 1 Tb 3.49, 1 Dy 3.67
Sm 0.4453 0.2419 0.8791  7 Sm 3.43-3.77, 1 Tb 3.49, 1 Dy 3.67
Sm 0.9453 0.8791 0.2419  7 Sm 3.43-3.77, 1 Tb 3.49, 1 Dy 3.67
Sm 0.5547 0.7581 0.1209  7 Sm 3.43-3.77, 1 Tb 3.49, 1 Dy 3.67
Sm 0.3131 0.9863 0.4324  2 Sm 3.25-3.60, 1 Tb 3.43, 1 Er 3.46, 1 Dy 3.58
Sm 0.1869 0.5676 0.0137  2 Sm 3.25-3.60, 1 Tb 3.43, 1 Er 3.46, 1 Dy 3.58
Sm 0.6869 0.0137 0.5676  2 Sm 3.25-3.60, 1 Tb 3.43, 1 Er 3.46, 1 Dy 3.58
Sm 0.8131 0.4324 0.9863  2 Sm 3.25-3.60, 1 Tb 3.43, 1 Er 3.46, 1 Dy 3.58
Sm 0.1191 0.7093 0.4935  4 Sm 3.25-3.61, 3 Tb 3.27-3.45, 2 Er 3.44-3.56
Sm 0.3809 0.5065 0.2907  4 Sm 3.25-3.61, 3 Tb 3.27-3.45, 2 Er 3.44-3.56
Sm 0.8809 0.2907 0.5065  4 Sm 3.25-3.61, 3 Tb 3.27-3.45, 2 Er 3.44-3.56
Sm 0.6191 0.4935 0.7093  4 Sm 3.25-3.61, 3 Tb 3.27-3.45, 2 Er 3.44-3.56
Dy 0.2500 0.9750 0.0250  4 Tb 3.42, 4 Sm 3.58-3.67
Dy 0.7500 0.0250 0.9750  4 Tb 3.42, 4 Sm 3.58-3.67
Er 0.2500 0.4099 0.5901  6 Sm 3.44-3.56, 2 Tb 3.54
Er 0.7500 0.5901 0.4099  6 Sm 3.44-3.56, 2 Tb 3.54

# 5
DFT (PBE) results for a geometry-optimized TbSm2Dy4Er structure.

Calculated values
VASP energy ... -4.20 eV per atom
DOS(E_F) ... 33.96 states/eV per cell
Space group ... Imma, No. 74
V ... 265.44 Å³/f.u.

Cell lengths 9.4963, 9.4963, 11.7752 Å; angles 128.31, 128.31, 88.56 degrees
With the nearest neighbours (Å) after each atom.
Sites, in units of the cell vectors:
Tb 0.5000 0.5000 0.5000  6 Dy 3.30-3.39, 2 Tb 3.40
Tb 0.0000 0.0000 0.0000  6 Dy 3.30-3.39, 2 Tb 3.40
Sm 0.5000 0.0000 0.0000  6 Dy 3.35-3.40, 2 Er 3.40
Sm 0.5000 0.0000 0.5000  6 Dy 3.35-3.40, 2 Er 3.40
Sm 0.0000 0.0000 0.5000  6 Dy 3.33-3.41, 2 Sm 3.40
Sm 0.5000 0.5000 0.0000  6 Dy 3.33-3.41, 2 Sm 3.40
Dy 0.2471 0.7498 0.9985  1 Tb 3.30, 3 Sm 3.33-3.40, 2 Dy 3.38-3.42, 2 Er 3.39
Dy 0.7502 0.2529 0.5015  1 Tb 3.30, 3 Sm 3.33-3.40, 2 Dy 3.38-3.42, 2 Er 3.39
Dy 0.2498 0.7471 0.4985  1 Tb 3.30, 3 Sm 3.33-3.40, 2 Dy 3.38-3.42, 2 Er 3.39
Dy 0.7529 0.2502 0.0015  1 Tb 3.30, 3 Sm 3.33-3.40, 2 Dy 3.38-3.42, 2 Er 3.39
Dy 0.7523 0.7475 0.9985  1 Er 3.28, 3 Sm 3.35-3.41, 2 Tb 3.39, 2 Dy 3.40
Dy 0.7525 0.7477 0.5015  1 Er 3.28, 3 Sm 3.35-3.41, 2 Tb 3.39, 2 Dy 3.40
Dy 0.2475 0.2523 0.4985  1 Er 3.28, 3 Sm 3.35-3.41, 2 Tb 3.39, 2 Dy 3.40
Dy 0.2477 0.2525 0.0015  1 Er 3.28, 3 Sm 3.35-3.41, 2 Tb 3.39, 2 Dy 3.40
Er 0.0000 0.5000 0.0000  6 Dy 3.28-3.39, 2 Sm 3.40
Er 0.0000 0.5000 0.5000  6 Dy 3.28-3.39, 2 Sm 3.40

# 6
DFT (PBE) results for a geometry-optimized TbSmDy2Er4 structure.

Calculated values
VASP energy ... -4.58 eV per atom
DOS(E_F) ... 10.82 states/eV per cell
Space group ... P4/mmm, No. 123
V ... 249.76 Å³/f.u.

Cell lengths 5.0027, 4.9990, 11.1671 Å; angles 63.42, 90.00, 90.00 degrees
With the nearest neighbours (Å) after each atom.
Sites, in units of the cell vectors:
Tb 0.5000 0.5000 0.0000  8 Er 3.53, 4 Dy 3.54
Sm 0.0000 0.5000 0.5000  4 Dy 3.54, 8 Er 3.54
Dy 0.0000 0.0000 0.0000  8 Er 3.52-3.53, 4 Tb 3.54
Dy 0.5000 0.0000 0.5000  4 Sm 3.54, 8 Er 3.54
Er 0.0000 0.7488 0.7512  4 Dy 3.52-3.54, 2 Tb 3.53, 4 Er 3.54, 2 Sm 3.54
Er 0.0000 0.2512 0.2488  4 Dy 3.52-3.54, 2 Tb 3.53, 4 Er 3.54, 2 Sm 3.54
Er 0.5000 0.7508 0.2491  2 Tb 3.53, 4 Dy 3.53-3.54, 4 Er 3.54, 2 Sm 3.54
Er 0.5000 0.2492 0.7509  2 Tb 3.53, 4 Dy 3.53-3.54, 4 Er 3.54, 2 Sm 3.54

# 7
DFT (PBE) results for a geometry-optimized Tb2SmDy2Er2 structure.

Calculated values
VASP energy ... -4.47 eV per atom
DOS(E_F) ... 11.53 states/eV per cell
Space group ... C2/m, No. 12
V ... 228.36 Å³/f.u.

Cell lengths 3.4893, 9.1491, 8.3529 Å; angles 118.68, 90.00, 100.99 degrees
With the nearest neighbours (Å) after each atom.
Sites, in units of the cell vectors:
Tb 0.6491 0.2983 0.9083  3 Er 3.46-3.54, 4 Tb 3.49-3.62, 2 Dy 3.54-3.61, 2 Sm 3.59
Tb 0.3509 0.7017 0.0917  3 Er 3.46-3.54, 4 Tb 3.49-3.62, 2 Dy 3.54-3.61, 2 Sm 3.59
Sm 0.0000 0.0000 0.5000  2 Er 3.41, 2 Sm 3.49, 4 Dy 3.53, 4 Tb 3.59
Dy 0.4287 0.8573 0.7668  3 Dy 3.46-3.49, 3 Er 3.47-3.48, 2 Sm 3.53, 2 Tb 3.54-3.61
Dy 0.5713 0.1427 0.2332  3 Dy 3.46-3.49, 3 Er 3.47-3.48, 2 Sm 3.53, 2 Tb 3.54-3.61
Er 0.7888 0.5775 0.3756  1 Sm 3.41, 3 Tb 3.46-3.54, 3 Dy 3.47-3.48, 4 Er 3.48-3.49
Er 0.2112 0.4225 0.6244  1 Sm 3.41, 3 Tb 3.46-3.54, 3 Dy 3.47-3.48, 4 Er 3.48-3.49

# 8
DFT (PBE) results for a geometry-optimized TbSm2Dy2Er2 structure.

Calculated values
VASP energy ... -4.54 eV per atom
DOS(E_F) ... 11.62 states/eV per cell
Space group ... C2/m, No. 12
V ... 227.42 Å³/f.u.

Cell lengths 3.5120, 6.0887, 11.7800 Å; angles 71.40, 90.00, 106.76 degrees
With the nearest neighbours (Å) after each atom.
Sites, in units of the cell vectors:
Tb 0.0000 0.0000 0.5000  4 Dy 3.50, 2 Tb 3.51, 6 Er 3.51-3.54
Sm 0.6699 0.3398 0.9164  4 Dy 3.49-3.59, 5 Sm 3.51-3.79, 2 Er 3.59
Sm 0.3301 0.6602 0.0836  4 Dy 3.49-3.59, 5 Sm 3.51-3.79, 2 Er 3.59
Dy 0.4486 0.8971 0.7697  3 Er 3.45-3.55, 4 Sm 3.49-3.59, 2 Tb 3.50, 2 Dy 3.51
Dy 0.5514 0.1029 0.2303  3 Er 3.45-3.55, 4 Sm 3.49-3.59, 2 Tb 3.50, 2 Dy 3.51
Er 0.7748 0.5495 0.3626  3 Dy 3.45-3.55, 4 Er 3.51-3.56, 3 Tb 3.51-3.54, 2 Sm 3.59
Er 0.2252 0.4505 0.6374  3 Dy 3.45-3.55, 4 Er 3.51-3.56, 3 Tb 3.51-3.54, 2 Sm 3.59

Number 1: calculated formation energy 0.2908 eV/atom. Number 2: calculated formation energy 0.0252 eV/atom. Number 3: calculated formation energy 0.0159 eV/atom. Number 4: calculated formation energy 0.1177 eV/atom. Number 5: calculated formation energy 0.4320 eV/atom. Number 6: calculated formation energy 0.0199 eV/atom. Number 7: calculated formation energy 0.1467 eV/atom. Number 8: calculated formation energy 0.0867 eV/atom.